(1)
The following is a PBE calculation of a geometry-optimized Sm2Be2O5 structure, from the Open Quantum Materials Database.

Electronic total energy: -67.40 eV per cell
Space group: P4/mmm (123)
Energy relative to the lowest polymorph listed for this composition: 0 meV per atom

Cell and atoms, written as CIF:
```
data_Sm2Be2O5
_symmetry_space_group_name_H-M 'P 1'
_symmetry_Int_Tables_number 1
_cell_length_a 3.632
_cell_length_b 3.632
_cell_length_c 6.871
_cell_angle_alpha 90.00
_cell_angle_beta 90.00
_cell_angle_gamma 90.00
loop_
_symmetry_equiv_pos_as_xyz
'x,y,z'
loop_
_atom_site_label
_atom_site_fract_x
_atom_site_fract_y
_atom_site_fract_z
Sm1 0.000 0.000 0.000
Sm2 0.000 0.000 0.500
Be1 0.500 0.500 0.229
Be2 0.500 0.500 0.771
O1 0.000 0.500 0.275
O2 0.000 0.500 0.725
O3 0.500 0.000 0.275
O4 0.500 0.000 0.725
O5 0.500 0.500 0.000
```

(2)
The following is a PBE calculation of a geometry-optimized Ta2Be2O5 structure, from the Open Quantum Materials Database.

Electronic total energy: -70.27 eV per cell
Space group: P4/mmm (123)
Energy relative to the lowest polymorph listed for this composition: 6 meV per atom

Cell and atoms, written as CIF:
```
data_Ta2Be2O5
_symmetry_space_group_name_H-M 'P 1'
_symmetry_Int_Tables_number 1
_cell_length_a 3.509
_cell_length_b 3.509
_cell_length_c 6.321
_cell_angle_alpha 90.00
_cell_angle_beta 90.00
_cell_angle_gamma 90.00
loop_
_symmetry_equiv_pos_as_xyz
'x,y,z'
loop_
_atom_site_label
_atom_site_fract_x
_atom_site_fract_y
_atom_site_fract_z
Ta1 0.000 0.000 0.000
Ta2 0.000 0.000 0.500
Be1 0.500 0.500 0.248
Be2 0.500 0.500 0.752
O1 0.000 0.500 0.295
O2 0.000 0.500 0.705
O3 0.500 0.000 0.295
O4 0.500 0.000 0.705
O5 0.500 0.500 0.000
```

(3)
The following is a PBE calculation of a geometry-optimized Ta2Be2O5 structure, from the Open Quantum Materials Database.

Electronic total energy: -70.32 eV per cell
Space group: P4/mmm (123)
Energy relative to the lowest polymorph listed for this composition: 0 meV per atom

Cell and atoms, written as CIF:
```
data_Ta2Be2O5
_symmetry_space_group_name_H-M 'P 1'
_symmetry_Int_Tables_number 1
_cell_length_a 3.378
_cell_length_b 3.378
_cell_length_c 8.442
_cell_angle_alpha 90.00
_cell_angle_beta 90.00
_cell_angle_gamma 90.00
loop_
_symmetry_equiv_pos_as_xyz
'x,y,z'
loop_
_atom_site_label
_atom_site_fract_x
_atom_site_fract_y
_atom_site_fract_z
Ta1 0.000 0.000 0.235
Ta2 0.000 0.000 0.765
Be1 0.500 0.500 0.000
Be2 0.500 0.500 0.500
O1 0.000 0.000 0.000
O2 0.000 0.500 0.359
O3 0.000 0.500 0.641
O4 0.500 0.000 0.359
O5 0.500 0.000 0.641
```

(4)
The following is a PBE calculation of a geometry-optimized Tb2Be2O5 structure, from the Open Quantum Materials Database.

Electronic total energy: -55.31 eV per cell
Space group: P4/mmm (123)

Cell and atoms, written as CIF:
```
data_Tb2Be2O5
_symmetry_space_group_name_H-M 'P 1'
_symmetry_Int_Tables_number 1
_cell_length_a 3.788
_cell_length_b 3.788
_cell_length_c 8.700
_cell_angle_alpha 90.00
_cell_angle_beta 90.00
_cell_angle_gamma 90.00
loop_
_symmetry_equiv_pos_as_xyz
'x,y,z'
loop_
_atom_site_label
_atom_site_fract_x
_atom_site_fract_y
_atom_site_fract_z
Tb1 0.000 0.000 0.240
Tb2 0.000 0.000 0.760
Be1 0.500 0.500 0.000
Be2 0.500 0.500 0.500
O1 0.000 0.000 0.500
O2 0.000 0.500 0.127
O3 0.000 0.500 0.873
O4 0.500 0.000 0.127
O5 0.500 0.000 0.873
```